Arrangement w

Below is crystalline TbPm3Nd6 at its relaxed geometry, with properties calculated at the PBE-GGA level.

abc: 11.514 7.118 8.929
angles: 90.00 102.36 90.00
Space group C2/m (No. 12)
Inequivalent atoms, fractional coordinates:
Tb 0.000 0.000 0.000 [2 per cell]
Pm 0.000 0.000 0.500 [2 per cell]
Pm 0.038 0.500 0.842 [4 per cell]
Nd 0.160 0.500 0.493 [4 per cell]
Nd 0.244 0.273 0.189 [8 per cell]

***

Arrangement x

Below is crystalline TbPm3Nd6 at its relaxed geometry, with properties calculated at the PBE-GGA level.

abc: 11.037 19.405 6.512
angles: 90.00 90.00 90.00
Space group Cmc2_1 (No. 36)
Inequivalent atoms, fractional coordinates:
Tb 0.000 0.191 0.000 [4 per cell]
Pm 0.000 0.384 0.029 [4 per cell]
Pm 0.175 0.117 0.651 [8 per cell]
Nd 0.000 0.034 0.252 [4 per cell]
Nd 0.000 0.278 0.462 [4 per cell]
Nd 0.170 0.459 0.556 [8 per cell]
Nd 0.233 0.292 0.742 [8 per cell]

***

The relative energies come out as arrangement w 121; arrangement x 0, with values in meV/atom.